Record 1
Te2OsAu | GGA-PBEsol | relaxed

Properties
**Raw total energy**: -5.290 eV per atom

Cell: 3.1472 4.3764 6.8130 Å, 108.73 103.35 90.00°
Closest atoms and distances in Å follow each position.
Fractional positions:
Au  0.5664  0.5664  0.1327  6 Te 2.91-3.11, 2 Os 3.02, 2 Au 3.15
Os  0.2722  0.7722  0.5445  6 Te 2.64-2.77
Te  0.9416  0.9416  0.8832  2 Os 2.64
Te  0.7198  0.2198  0.4396  4 Os 2.77, 2 Au 2.91



Record 2
Li2InP2HO8 | GGA-PBEsol | relaxed

Properties
**Raw total energy**: -6.676 eV per atom

Cell: 4.8143 7.7541 8.2594 Å, 90.00 90.00 103.57°
Closest atoms and distances in Å follow each position.
Fractional positions:
Li  0.3680  0.9082  0.8643  4 O 1.94-2.00
Li  0.8675  0.4091  0.6380  4 O 1.94-2.00
Li  0.1325  0.5909  0.1380  4 O 1.94-2.00
Li  0.6320  0.0918  0.3643  4 O 1.94-2.00
In  0.2507  0.7501  0.5010  6 O 2.14-2.16
In  0.7493  0.2499  0.0010  6 O 2.14-2.16
P  0.8926  0.0234  0.6516  4 O 1.54-1.56
P  0.3921  0.5235  0.8511  4 O 1.54-1.56
P  0.6079  0.4765  0.3511  4 O 1.54-1.56
P  0.1074  0.9766  0.1516  4 O 1.54-1.56
H  0.2491  0.2499  0.5024  2 O 1.20-1.21
H  0.7509  0.7501  0.0024  2 O 1.20-1.21
O  0.7545  0.0587  0.8123  1 P 1.54
O  0.2546  0.5595  0.6903  1 P 1.54
O  0.7454  0.4405  0.1903  1 P 1.54
O  0.2455  0.9413  0.3123  1 P 1.54
O  0.0243  0.2064  0.5711  1 H 1.20
O  0.5232  0.7057  0.9326  1 H 1.21
O  0.4768  0.2943  0.4326  1 H 1.21
O  0.9757  0.7936  0.0711  1 H 1.20
O  0.1189  0.9148  0.6809  1 P 1.54
O  0.6181  0.4148  0.8213  1 P 1.54
O  0.3819  0.5852  0.3213  1 P 1.54
O  0.8811  0.0852  0.1809  1 P 1.54
O  0.6643  0.9229  0.5327  1 P 1.54
O  0.1632  0.4221  0.9693  1 P 1.54
O  0.8368  0.5779  0.4693  1 P 1.54
O  0.3357  0.0771  0.0327  1 P 1.54



Record 3
TmCoC2 | GGA-PBEsol | relaxed

Properties
**ΔE_f**: -0.442 eV/atom
**Raw total energy**: -8.423 eV per atom

Cell: 3.6846 3.6846 3.4363 Å, 90.00 90.00 105.64°
Closest atoms and distances in Å follow each position.
Fractional positions:
C  0.5464  0.1433  0.5000  1 C 1.38
C  0.8567  0.4536  0.5000  1 C 1.38
Tm  0.0067  0.9933  0.0000  8 C 2.57-2.58, 2 Co 2.83
Co  0.3904  0.6096  0.5000  4 C 1.89-1.95



Record 4
CeMgSi2 | GGA-PBEsol | relaxed

Properties
**Raw total energy**: -5.492 eV per atom

Cell: 4.1260 4.1260 18.7004 Å, 96.33 96.33 90.00°
Closest atoms and distances in Å follow each position.
Fractional positions:
Ce  0.1717  0.6717  0.3434  10 Si 3.06-3.15
Ce  0.9217  0.9217  0.8434  10 Si 3.06-3.15
Ce  0.0783  0.0783  0.1566  10 Si 3.06-3.15
Ce  0.3283  0.8283  0.6566  10 Si 3.06-3.15
Mg  0.7501  0.7501  0.5002  4 Si 2.73, 4 Mg 2.92
Mg  0.4999  0.9999  0.9998  4 Si 2.73, 4 Mg 2.92
Mg  0.2499  0.2499  0.4998  4 Si 2.73, 4 Mg 2.92
Mg  0.0001  0.5001  0.0002  4 Si 2.73, 4 Mg 2.92
Si  0.7984  0.2984  0.5968  1 Si 2.30
Si  0.7016  0.2016  0.4032  1 Si 2.30
Si  0.5484  0.5484  0.0968  1 Si 2.30
Si  0.4516  0.4516  0.9032  1 Si 2.30
Si  0.8606  0.3606  0.7212  3 Si 2.30-2.32
Si  0.6106  0.6106  0.2212  3 Si 2.30-2.32
Si  0.3894  0.3894  0.7788  3 Si 2.30-2.32
Si  0.6394  0.1394  0.2788  3 Si 2.30-2.32



Record 5
HgAuCl2 | GGA-PBEsol | relaxed

Properties
**Raw total energy**: -2.107 eV per atom

Cell: 3.3813 5.4556 4.9495 Å, 90.06 90.00 90.00°
Closest atoms and distances in Å follow each position.
Fractional positions:
Au  0.0000  0.0000  0.5000  2 Cl 2.47
Hg  0.5000  0.5000  0.0000  2 Cl 2.47
Cl  0.0000  0.0000  0.0000  2 Au 2.47
Cl  0.5000  0.5000  0.5000  2 Hg 2.47



Record 6
LaTa2CuClO7 | GGA-PBEsol | relaxed

Properties
**Raw total energy**: -8.647 eV per atom

Cell: 3.8619 3.8619 11.6577 Å, 90.00 90.00 90.00°
Closest atoms and distances in Å follow each position.
Fractional positions:
La  0.0000  0.0000  0.0000  12 O 2.64-2.73
Ta  0.5000  0.5000  0.8085  5 O 1.79-1.98
Ta  0.5000  0.5000  0.1915  5 O 1.79-1.98
Cu  0.5000  0.5000  0.5000  2 O 1.80
Cl  0.0000  0.0000  0.5000  4 Cu 2.73
O  0.5000  0.0000  0.8460  2 Ta 1.98
O  0.0000  0.5000  0.8460  2 Ta 1.98
O  0.5000  0.0000  0.1540  2 Ta 1.98
O  0.0000  0.5000  0.1540  2 Ta 1.98
O  0.5000  0.5000  0.6547  1 Ta 1.79, 1 Cu 1.80
O  0.5000  0.5000  0.3453  1 Ta 1.79, 1 Cu 1.80
O  0.5000  0.5000  0.0000  2 Ta 2.23



Record 7
Hg2H10C3NCl5 | GGA-PBEsol | relaxed

Properties
**Raw total energy**: -4.269 eV per atom

Cell: 6.0564 10.0049 10.8552 Å, 95.34 104.08 98.75°
Closest atoms and distances in Å follow each position.
Fractional positions:
Hg  0.0746  0.8934  0.1615  2 Cl 2.34-2.35
Hg  0.3184  0.1323  0.5710  3 Cl 2.37-2.57
Hg  0.6816  0.8677  0.4290  3 Cl 2.37-2.57
Hg  0.9254  0.1066  0.8385  2 Cl 2.34-2.35
H  0.7603  0.4139  0.4120  1 C 1.10
H  0.4283  0.2731  0.0239  1 C 1.10
H  0.2741  0.6402  0.9331  1 C 1.10
H  0.7259  0.3598  0.0669  1 C 1.10
H  0.1414  0.7203  0.6716  1 C 1.10
H  0.9136  0.4521  0.2925  1 C 1.10
H  0.3451  0.8086  0.8916  1 C 1.10
H  0.5520  0.4835  0.7006  1 C 1.10
H  0.5717  0.7269  0.9761  1 C 1.10
H  0.0864  0.5479  0.7075  1 C 1.10
H  0.6986  0.5490  0.8665  1 C 1.10
H  0.4097  0.4491  0.8249  1 C 1.10
H  0.3014  0.4510  0.1335  1 C 1.10
H  0.6549  0.1914  0.1084  1 C 1.10
H  0.4503  0.2800  0.2482  1 N 1.05
H  0.2397  0.5861  0.5880  1 C 1.10
H  0.5903  0.5509  0.1751  1 C 1.10
H  0.8586  0.2797  0.3284  1 C 1.10
H  0.4480  0.5165  0.2994  1 C 1.10
H  0.5497  0.7200  0.7518  1 N 1.05
C  0.5958  0.2891  0.0959  3 H 1.10
C  0.4042  0.7109  0.9041  3 H 1.10
C  0.2086  0.6246  0.6793  3 H 1.10
C  0.7914  0.3754  0.3207  3 H 1.10
C  0.4690  0.4760  0.2060  3 H 1.10
C  0.5310  0.5240  0.7940  3 H 1.10
N  0.4311  0.6500  0.7800  1 H 1.05
N  0.5689  0.3500  0.2200  1 H 1.05
Cl  0.3380  0.3304  0.4675  1 Hg 2.37
Cl  0.9945  0.6547  0.1197  1 Hg 2.34
Cl  0.0996  0.1279  0.1488  1 Hg 2.35, 1 H 2.36
Cl  0.5886  0.9201  0.2100  1 Hg 2.43
Cl  0.6620  0.6696  0.5325  1 Hg 2.37
Cl  0.9004  0.8721  0.8512  1 Hg 2.35, 1 H 2.36
Cl  0.4114  0.0799  0.7900  1 Hg 2.43
Cl  0.0055  0.3453  0.8803  1 Hg 2.34
Cl  0.8132  0.1032  0.5668  2 Hg 2.57-2.86
Cl  0.1868  0.8968  0.4332  2 Hg 2.57-2.86



Record 8
CaIr2Ru | GGA-PBEsol | relaxed

Properties
**ΔE_f**: 0.238 eV/atom
**Raw total energy**: -7.750 eV per atom

Cell: 2.7149 3.9368 6.1337 Å, 90.00 90.00 90.00°
Closest atoms and distances in Å follow each position.
Fractional positions:
Ru  0.0000  0.0000  0.4459  5 Ir 2.51-2.64, 2 Ru 2.71
Ca  0.5000  0.5000  0.7541  2 Ca 2.71, 5 Ir 2.95-3.01
Ir  0.0000  0.0000  0.0367  1 Ru 2.51, 6 Ir 2.71-2.77
Ir  0.5000  0.5000  0.2633  4 Ru 2.64, 6 Ir 2.71-2.77



Record 9
CoTcOs2 | GGA-PBEsol | relaxed

Properties
**ΔE_f**: 0.487 eV/atom
**Raw total energy**: -10.372 eV per atom

Cell: 2.7488 4.4010 4.4458 Å, 90.00 90.00 90.00°
Closest atoms and distances in Å follow each position.
Fractional positions:
Co  0.0000  0.5000  0.5000  4 Os 2.59, 4 Tc 2.61, 2 Co 2.75
Os  0.0000  0.0000  0.0000  4 Tc 2.59, 6 Os 2.61-2.75
Os  0.5000  0.0000  0.5000  4 Co 2.59, 6 Os 2.61-2.75
Tc  0.5000  0.5000  0.0000  4 Os 2.59, 4 Co 2.61, 2 Tc 2.75



Record 10
Sc3BiSb | GGA-PBEsol | relaxed

Properties
**Raw total energy**: -5.810 eV per atom

Cell: 5.2618 5.2618 5.2618 Å, 90.00 90.00 90.00°
Closest atoms and distances in Å follow each position.
Fractional positions:
Sc  0.0000  0.5000  0.0000  2 Sb 2.63
Sc  0.0000  0.0000  0.5000  2 Sb 2.63
Sc  0.5000  0.0000  0.0000  2 Sb 2.63
Sb  0.0000  0.0000  0.0000  6 Sc 2.63
Bi  0.5000  0.5000  0.5000  12 Sc 3.72



Record 11
Fe2TcTe | GGA-PBEsol | relaxed

Properties
**Raw total energy**: -7.877 eV per atom

Cell: 4.2760 4.2760 4.2760 Å, 60.00 60.00 60.00°
Closest atoms and distances in Å follow each position.
Fractional positions:
Fe  0.0000  0.0000  0.0000  4 Fe 2.62, 4 Te 2.62
Fe  0.7500  0.7500  0.7500  4 Tc 2.62, 4 Fe 2.62
Tc  0.5000  0.5000  0.5000  4 Fe 2.62, 4 Te 2.62
Te  0.2500  0.2500  0.2500  4 Tc 2.62, 4 Fe 2.62



Record 12
BeRh2Pb | GGA-PBEsol | relaxed

Properties
**ΔE_f**: -0.077 eV/atom
**Raw total energy**: -6.146 eV per atom

Cell: 3.6783 4.4827 4.5721 Å, 119.36 113.72 90.00°
Closest atoms and distances in Å follow each position.
Fractional positions:
Pb  0.0000  0.5000  0.0000  8 Rh 2.70-2.74, 4 Be 2.90
Be  0.5000  0.0000  0.0000  4 Rh 2.37
Rh  0.7881  0.7881  0.5761  2 Be 2.37
Rh  0.2119  0.2119  0.4239  2 Be 2.37